Rb2CoAuO4: optimized geometry, PBE+U.

Computed properties:
- total magnetic moment (μB/f.u.) = 2.0
- E (eV per atom) = -4.776
- crystal system = orthorhombic

Cell lengths 5.818, 6.445, 6.445 Å; angles 41.96, 90.00, 90.00 degrees
Last column: magnetic moment on the atom in μB.
Fractional positions:
1 Au 0.500 0.503 0.503  0.01
2 Co 0.000 0.498 0.498  1.78
3 O 0.234 0.395 0.395  0.04
4 O 0.766 0.395 0.395  0.04
5 O 0.224 0.606 0.606  0.04
6 O 0.776 0.606 0.606  0.04
7 Rb 0.000 0.197 0.197  0.00
8 Rb 0.500 0.801 0.801  0.00